Zr6ZnPd12, relaxed, DFT PBE-GGA; final energy = -6.621 eV/atom; formation energy = -0.57 eV per atom; density = 9273 kg/m3
1.0
-2.0557 -6.0424 -2.8516
6.8057 -1.1909 -1.0638
0.0362 -2.4751 6.5376
Zr Zn Pd
6 1 12
Cartesian
4.3978 -5.7771 -1.2830 Zr
0.5687 -5.3100 -1.5286 Zr
4.8617 -2.5616 0.8114 Zr
0.3883 -3.9313 3.9052 Zr
4.2174 -4.3984 4.1508 Zr
-0.0756 -7.1468 1.8108 Zr
0.0000 0.0000 0.0000 Zn
2.0986 -6.6168 0.3101 Pd
4.4124 -5.1958 1.3480 Pd
2.1822 -5.8209 3.1046 Pd
2.6875 -3.0916 2.3121 Pd
0.3738 -4.5126 1.2742 Pd
2.6040 -3.8876 -0.4824 Pd
0.7736 -1.2570 2.1197 Pd
2.5866 -8.4481 3.1176 Pd
5.2745 -7.1857 2.8852 Pd
4.0126 -8.4514 0.5024 Pd
2.1995 -1.2603 -0.4954 Pd
-0.4884 -2.5227 -0.2631 Pd

---

LaBPt3, relaxed, DFT PBE-GGA; E above lowest polymorph = 2742.1 meV/atom; final energy = -4.101 eV/atom; formation energy = 1.84 eV per atom; density = 8275 kg/m3
1.0
-2.4515 3.6914 2.8772
-2.0899 -3.7696 3.0557
4.1878 0.2798 3.2093
B Pt La
1 3 1
Cartesian
-0.1768 0.1008 4.5711 B
-1.0449 -1.8848 1.5278 Pt
2.0939 0.1399 1.6046 Pt
-1.2258 1.8457 1.4386 Pt
0.0000 0.0000 0.0000 La